[1]
The following is a PBE-GGA calculation of a relaxed MgAg2Mo crystal, from the Alexandria database.

Cell: 2.8892 2.8892 28.9904 Å, 90.00 90.00 120.00°
Positions (direct):
Mg 0.0000 0.0000 0.0000
Mg 0.3333 0.6667 0.6667
Mg 0.6667 0.3333 0.3333
Ag 0.0000 0.0000 0.5007
Ag 0.0000 0.0000 0.7495
Ag 0.3333 0.6667 0.1674
Ag 0.3333 0.6667 0.4162
Ag 0.6667 0.3333 0.0829
Ag 0.6667 0.3333 0.8340
Mo 0.0000 0.0000 0.2501
Mo 0.3333 0.6667 0.9168
Mo 0.6667 0.3333 0.5835

Computed properties:
- Space-group type: R3m
- Size of the total moment: 0.01 μB/cell


[2]
The following is a PBE-GGA calculation of a relaxed MgAg2Mo crystal, from the Alexandria database.

Cell: 4.1944 4.1944 8.0602 Å, 90.00 90.00 90.00°
Positions (direct):
Mg 0.0000 0.0000 0.0000
Mg 0.5000 0.5000 0.5000
Ag 0.0000 0.0000 0.5000
Ag 0.0000 0.5000 0.2500
Ag 0.5000 0.0000 0.7500
Ag 0.5000 0.5000 0.0000
Mo 0.0000 0.5000 0.7500
Mo 0.5000 0.0000 0.2500

Computed properties:
- Space-group type: I-4m2
- Size of the total moment: 4.21 μB/cell


[3]
The following is a PBE-GGA calculation of a relaxed MgAg2Mo crystal, from the Alexandria database.

Cell: 4.9494 4.9494 2.8608 Å, 90.00 90.00 90.00°
Positions (direct):
Mg 0.0000 0.0000 0.0000
Ag 0.0000 0.5000 0.5000
Ag 0.5000 0.0000 0.5000
Mo 0.5000 0.5000 0.0000

Computed properties:
- Space-group type: P4/mmm
- Size of the total moment: 0.85 μB/cell


[4]
The following is a PBE-GGA calculation of a relaxed MgAg4Mo crystal, from the Alexandria database.

Cell: 5.4545 5.4545 5.4545 Å, 60.00 60.00 60.00°
Positions (direct):
Mg 0.0000 0.0000 0.0000
Ag 0.3750 0.3750 0.3750
Ag 0.3750 0.3750 0.8750
Ag 0.3750 0.8750 0.3750
Ag 0.8750 0.3750 0.3750
Mo 0.7500 0.7500 0.7500

Computed properties:
- Space-group type: F-43m
- Size of the total moment: 3.13 μB/cell


[5]
The following is a PBE-GGA calculation of a relaxed MgAg2Mo crystal, from the Alexandria database.

Cell: 3.9711 3.9879 8.7374 Å, 90.00 90.00 90.00°
Positions (direct):
Mg 0.0000 0.0000 0.0000
Mg 0.5000 0.5000 0.0000
Ag 0.0000 0.0000 0.4945
Ag 0.0000 0.5000 0.7496
Ag 0.5000 0.0000 0.7496
Ag 0.5000 0.5000 0.4945
Mo 0.0000 0.5000 0.2465
Mo 0.5000 0.0000 0.2465

Computed properties:
- Space-group type: Cmm2
- Size of the total moment: 0.00 μB/cell


[6]
The following is a PBE-GGA calculation of a relaxed MgAgMo crystal, from the Alexandria database.

Cell: 6.2510 6.2510 6.2510 Å, 90.00 90.00 90.00°
Positions (direct):
Mg 0.0000 0.0000 0.0000
Mg 0.0000 0.5000 0.5000
Mg 0.5000 0.0000 0.5000
Mg 0.5000 0.5000 0.0000
Ag 0.2500 0.2500 0.7500
Ag 0.2500 0.7500 0.2500
Ag 0.7500 0.2500 0.2500
Ag 0.7500 0.7500 0.7500
Mo 0.0000 0.0000 0.5000
Mo 0.0000 0.5000 0.0000
Mo 0.5000 0.0000 0.0000
Mo 0.5000 0.5000 0.5000

Computed properties:
- Space-group type: F-43m
- Size of the total moment: 4.21 μB/cell
- Relative energy among the computed polymorphs: 716 meV per atom


[7]
The following is a PBE-GGA calculation of a relaxed MgAg2Mo crystal, from the Alexandria database.

Cell: 9.7160 2.7787 5.2262 Å, 90.00 98.85 90.00°
Positions (direct):
Mg 0.0000 0.0000 0.0000
Mg 0.5000 0.5000 0.0000
Ag 0.2483 0.5000 0.2333
Ag 0.4993 0.0000 0.5045
Ag 0.7483 0.0000 0.2333
Ag 0.9993 0.5000 0.5045
Mo 0.2488 0.0000 0.7333
Mo 0.7488 0.5000 0.7333

Computed properties:
- Space-group type: Cm
- Size of the total moment: 1.64 μB/cell


[8]
The following is a PBE-GGA calculation of a relaxed MgAgMo crystal, from the Alexandria database.

Cell: 2.7617 2.7617 13.4371 Å, 90.00 90.00 90.00°
Positions (direct):
Mg 0.0000 0.0000 0.0000
Mg 0.5000 0.5000 0.5000
Ag 0.0000 0.0000 0.3330
Ag 0.5000 0.5000 0.8330
Mo 0.0000 0.0000 0.6658
Mo 0.5000 0.5000 0.1658

Computed properties:
- Space-group type: I4mm
- Size of the total moment: 0.00 μB/cell
- Relative energy among the computed polymorphs: 0 meV per atom


Number 1: formation enthalpy at 0 K 0.290 eV per atom. Number 2: formation enthalpy at 0 K 0.492 eV per atom. Number 3: formation enthalpy at 0 K 0.379 eV per atom. Number 4: formation enthalpy at 0 K 0.450 eV per atom. Number 5: formation enthalpy at 0 K 0.213 eV per atom. Number 6: formation enthalpy at 0 K 0.977 eV per atom. Number 7: formation enthalpy at 0 K 0.357 eV per atom. Number 8: formation enthalpy at 0 K 0.261 eV per atom.